1.
16
Lattice="-4.132 7.188 -2.469 -2.641 1.523 8.855 8.464 -0.874 -1.555" Properties=species:S:1:pos:R:3 comment="Ac8Os3RhCl4 (PBE, relaxed)" raw_formation_energy_mev_per_atom=-918 final_energy_ev_per_atom=-5.999 total_magnetization_mub_per_cell=0.0 pbc="T T T"
Ac 5.345 1.926 4.134
Ac 1.172 2.357 4.900
Ac 2.613 1.895 1.145
Ac 3.308 5.470 2.917
Ac -1.617 2.367 1.914
Ac -0.922 5.942 3.686
Ac 0.519 5.480 -0.070
Ac -3.654 5.911 0.697
Os -3.386 4.356 3.193
Os 0.846 3.918 2.415
Os 2.911 0.325 3.650
Rh -1.321 0.762 4.428
Cl -2.066 3.594 -1.235
Cl 2.166 3.157 -2.012
Cl 0.000 0.000 0.000
Cl 4.232 -0.437 -0.778

2.
8
Lattice="-3.012 3.029 -0.641 -4.775 -3.850 4.242 4.164 5.206 5.037" Properties=species:S:1:pos:R:3 comment="Ac4OsRhCl2 (PBE, relaxed)" raw_formation_energy_mev_per_atom=-1046 final_energy_ev_per_atom=-5.885 total_magnetization_mub_per_cell=0.0 pbc="T T T"
Ac -1.803 1.649 1.709
Ac -1.820 2.737 6.929
Ac 2.028 3.108 5.159
Ac -2.639 -1.752 4.120
Os -3.894 -0.410 1.801
Rh 0.000 0.000 0.000
Cl 0.576 4.118 2.198
Cl -0.305 0.678 4.639